--- one ---
Compound: NaMnP2O
Source: Alexandria via LeMat-Bulk
Functional: GGA+U
Structure: relaxed

a b c (Å): 4.7976 4.7976 3.8937
angles (deg): 90.00 90.00 90.00
Closest atoms and distances in Å follow each position.
Space group P4/mmm (No. 123)
Unique sites:
Na1 0.0000 0.0000 0.0000 [1 per cell]  2 O 1.95
Mn1 0.5000 0.5000 0.5000 [1 per cell]  8 P 3.09, 4 O 3.39
P1 0.0000 0.5000 0.0000 [2 per cell]  2 Na 2.40
O1 0.0000 0.0000 0.5000 [1 per cell]  2 Na 1.95

Results
* density of states at the Fermi level: 4.51 states/eV/f.u.

--- two ---
Compound: NaMnP2O
Source: Alexandria via LeMat-Bulk
Functional: GGA+U
Structure: relaxed

a b c (Å): 4.8613 4.8613 3.4724
angles (deg): 90.00 90.00 90.00
Closest atoms and distances in Å follow each position.
Space group P4/mmm (No. 123)
Unique sites:
Na1 0.0000 0.0000 0.0000 [1 per cell]  8 P 2.99
Mn1 0.5000 0.5000 0.5000 [1 per cell]  2 O 1.74
P1 0.0000 0.5000 0.5000 [2 per cell]  2 Mn 2.43
O1 0.5000 0.5000 0.0000 [1 per cell]  2 Mn 1.74

Results
* density of states at the Fermi level: 3.96 states/eV/f.u.

Which of them is most stable, and which least? Most stable: two; least stable: one.